A plane-wave DFT calculation with PBE was carried out for an optimized crystal structure of Pm8Rh3SeI4.

SG: R-3m (166)
energy: -5.38 eV per atom
ρ: 6.89 g/cm³
ΔE_f (raw): -1017 meV per atom

Cell lengths 8.475, 9.347, 8.476 Å; angles 116.98, 120.00, 90.00 degrees
Atoms (fractional coordinates):
1 Pm 0.239 0.687 0.948
2 Pm 0.239 0.687 0.478
3 Pm 0.272 0.315 0.543
4 Pm 0.709 0.687 0.948
5 Pm 0.291 0.313 0.052
6 Pm 0.728 0.685 0.457
7 Pm 0.761 0.313 0.522
8 Pm 0.761 0.313 0.052
9 Rh 0.500 0.500 0.000
10 Rh 0.500 0.500 0.500
11 Rh 0.000 0.500 0.500
12 Se 0.000 0.500 0.000
13 I 0.500 0.000 0.000
14 I 0.500 0.000 0.500
15 I 0.000 0.000 0.000
16 I 0.000 0.000 0.500

=====

A plane-wave DFT calculation with PBE was carried out for an optimized crystal structure of Pm8Si3RhI4.

SG: R-3m (166)
energy: -5.14 eV per atom
ρ: 6.28 g/cm³
ΔE_f (raw): -905 meV per atom

Cell lengths 8.586, 9.141, 8.589 Å; angles 118.05, 119.99, 90.00 degrees
Atoms (fractional coordinates):
1 Pm 0.227 0.692 0.965
2 Pm 0.227 0.692 0.454
3 Pm 0.267 0.302 0.535
4 Pm 0.738 0.692 0.965
5 Pm 0.262 0.308 0.035
6 Pm 0.733 0.698 0.465
7 Pm 0.773 0.308 0.546
8 Pm 0.773 0.308 0.035
9 Si 0.500 0.500 0.000
10 Si 0.500 0.500 0.500
11 Si 0.000 0.500 0.500
12 Rh 0.000 0.500 0.000
13 I 0.500 0.000 0.000
14 I 0.500 0.000 0.500
15 I 0.000 0.000 0.000
16 I 0.000 0.000 0.500

=====

A plane-wave DFT calculation with PBE was carried out for an optimized crystal structure of Pm8SiRh3I4.

SG: R-3m (166)
energy: -5.37 eV per atom
ρ: 6.76 g/cm³
ΔE_f (raw): -891 meV per atom

Cell lengths 8.449, 9.343, 8.450 Å; angles 116.90, 119.99, 90.00 degrees
Atoms (fractional coordinates):
1 Pm 0.234 0.685 0.951
2 Pm 0.234 0.685 0.468
3 Pm 0.270 0.310 0.540
4 Pm 0.717 0.685 0.951
5 Pm 0.283 0.315 0.049
6 Pm 0.730 0.690 0.460
7 Pm 0.766 0.315 0.532
8 Pm 0.766 0.315 0.049
9 Si 0.000 0.500 0.000
10 Rh 0.500 0.500 0.000
11 Rh 0.500 0.500 0.500
12 Rh 0.000 0.500 0.500
13 I 0.500 0.000 0.000
14 I 0.500 0.000 0.500
15 I 0.000 0.000 0.000
16 I 0.000 0.000 0.500

=====

A plane-wave DFT calculation with PBE was carried out for an optimized crystal structure of TbPmRhI.

SG: R3m (160)
energy: -5.51 eV per atom
ρ: 7.52 g/cm³
ΔE_f (raw): -942 meV per atom

Cell lengths 4.111, 4.111, 8.396 Å; angles 90.00, 104.17, 120.00 degrees
Atoms (fractional coordinates):
1 Tb 0.092 0.944 0.051
2 Pm 0.514 0.155 0.685
3 Rh 0.307 0.551 0.874
4 I 0.965 0.381 0.361

=====

Question: The lowest ρ belongs to which entry?
Answer: Pm8Si3RhI4

=====

Question: What is the energy in the fourth record?
Answer: -5.51 eV per atom